The following is a PBE with a Hubbard U calculation of SiMoNO2 after structural relaxation, from Alexandria via LeMat-Bulk.

Cell lengths 3.940, 3.940, 4.037 Å; angles 90.00, 90.00, 90.00 degrees
Fractional coordinates of all 5 atoms:
Si 0.000 0.000 0.000
Mo 0.500 0.500 0.500
N 0.500 0.500 0.000
O 0.000 0.500 0.500
O 0.500 0.000 0.500

**D(E_F)**: 0.2253 states/eV per atom
**Symmetry**: No. 123
**Final energy**: -31.8 eV per cell